Material: TcGeP2Cl
Method: DFT, SCAN
State: PBEsol geometry

Unit cell a=4.6585 b=4.6585 c=4.5862 alpha=90.00 beta=90.00 gamma=90.00
Closest atoms and distances in Å follow each position.
Fractional coordinates of all 5 atoms:
1 Tc 0.0000 0.0000 0.0000  8 P 3.27, 4 Cl 3.29
2 Ge 0.5000 0.5000 0.5000  2 Cl 2.29, 4 P 2.33
3 P 0.0000 0.5000 0.5000  2 Ge 2.33
4 P 0.5000 0.0000 0.5000  2 Ge 2.33
5 Cl 0.5000 0.5000 0.0000  2 Ge 2.29

Symmetry   P4/mmm, No. 123
Volume   19.91 A^3/atom
Crystal system   tetragonal
E_tot   -15.47 eV/atom